Record 1
VASP calculation (PBE) on a relaxed structure of Mn2WBr.

Crystal system: tetragonal
Formation energy from raw total energies in meV/atom: 469.2
Space group: No. 123
Total DFT energy (no corrections) in eV per atom: -7.77
Size of the total moment in μB/f.u.: 5.922

a b c (Å): 3.0987 3.0987 7.2664
angles (deg): 90.00 90.00 90.00
Closest atoms and distances in Å follow each position.
Element x y z (fractional)
Mn: 0.0000 0.0000 0.2118  4 W 2.68
Mn: 0.0000 0.0000 0.7882  4 W 2.68
W: 0.5000 0.5000 0.0000  8 Mn 2.68
Br: 0.5000 0.5000 0.5000  8 Mn 3.03, 4 Br 3.10



Record 2
VASP calculation (PBE) on a relaxed structure of MnW2Br.

Crystal system: tetragonal
Formation energy from raw total energies in meV/atom: 1158.7
Space group: No. 139
Total DFT energy (no corrections) in eV per atom: -8.03
Size of the total moment in μB/f.u.: 3.131

a b c (Å): 5.3924 5.3924 5.3924
angles (deg): 139.00 139.00 59.38
Closest atoms and distances in Å follow each position.
Element x y z (fractional)
Mn: 0.0000 0.0000 0.0000  4 Br 2.67
W: 0.2500 0.7500 0.5000  4 W 2.67
W: 0.7500 0.2500 0.5000  4 W 2.67
Br: 0.5000 0.5000 0.0000  4 Mn 2.67



Record 3
VASP calculation (PBE) on a relaxed structure of MnW2Br.

Crystal system: monoclinic
Formation energy from raw total energies in meV/atom: 857.4
Space group: No. 12
Total DFT energy (no corrections) in eV per atom: -8.33
Size of the total moment in μB/f.u.: 2.395

a b c (Å): 4.9263 4.9263 4.6731
angles (deg): 97.59 97.59 36.43
Closest atoms and distances in Å follow each position.
Element x y z (fractional)
Mn: 0.0000 0.0000 0.0000  6 W 2.75-2.81, 4 Br 2.80
W: 0.2665 0.2665 0.7864  2 W 2.57, 1 Br 2.72, 3 Mn 2.75-2.81
W: 0.7335 0.7335 0.2136  2 W 2.57, 1 Br 2.72, 3 Mn 2.75-2.81
Br: 0.5000 0.5000 0.5000  2 W 2.72, 4 Mn 2.80



Record 4
VASP calculation (PBE) on a relaxed structure of MnWBr.

Crystal system: cubic
Formation energy from raw total energies in meV/atom: 1229.2
Space group: No. 216
Total DFT energy (no corrections) in eV per atom: -6.70
Size of the total moment in μB/f.u.: 0.000

a b c (Å): 4.1586 4.1586 4.1586
angles (deg): 60.00 60.00 60.00
Closest atoms and distances in Å follow each position.
Element x y z (fractional)
Mn: 0.0000 0.0000 0.0000  4 W 2.55, 4 Br 2.55
W: 0.2500 0.2500 0.2500  4 Mn 2.55
Br: 0.7500 0.7500 0.7500  4 Mn 2.55